1.
Ti2BMoN | PBE | optimized geometry

The structure in CIF format:
```
data_Ti2BMoN
_cell_length_a 3.9694
_cell_length_b 3.9694
_cell_length_c 4.0483
_cell_angle_alpha 90.00
_cell_angle_beta 90.00
_cell_angle_gamma 90.00
_symmetry_space_group_name_H-M 'P 4/m m m'
_symmetry_Int_Tables_number 123
_symmetry_space_group_name_Hall '-P 4 2'
loop_
_atom_site_label
_atom_site_fract_x
_atom_site_fract_y
_atom_site_fract_z
_atom_site_occupancy
Ti1 0.0000 0.5000 0.0000 1
B1 0.0000 0.0000 0.5000 1
Mo1 0.5000 0.5000 0.5000 1
N1 0.5000 0.5000 0.0000 1
```

Energy relative to the elements, uncorrected (kJ/mol of atoms): -20
E (eV per atom): -8.535
Theoretical density (g cm⁻³): 5.64
N(E_F) (states/eV per cell): 4.49

***

2.
RePdF6 | PBE | optimized geometry

The structure in CIF format:
```
data_RePdF6
_cell_length_a 6.5728
_cell_length_b 7.6151
_cell_length_c 6.6130
_cell_angle_alpha 90.00
_cell_angle_beta 118.17
_cell_angle_gamma 90.00
_symmetry_space_group_name_H-M 'C 1 2/m 1'
_symmetry_Int_Tables_number 12
loop_
_symmetry_equiv_pos_as_xyz
'x,y,z'
'-x,-y,-z'
'-x,y,-z'
'x,-y,z'
'x+1/2,y+1/2,z'
'-x+1/2,-y+1/2,-z'
'-x+1/2,y+1/2,-z'
'x+1/2,-y+1/2,z'
loop_
_atom_site_label
_atom_site_fract_x
_atom_site_fract_y
_atom_site_fract_z
_atom_site_occupancy
Re1 0.0000 0.0000 0.0000 1
Pd1 0.0000 0.0000 0.5000 1
F1 0.0520 0.1675 0.2440 1
F2 0.1822 0.5000 0.9100 1
```

Energy relative to the elements, uncorrected (kJ/mol of atoms): -157
E (eV per atom): -5.232
Theoretical density (g cm⁻³): 4.63
N(E_F) (states/eV per cell): 18.31

***

3.
ScSiNO2 | PBE | optimized geometry

The structure in CIF format:
```
data_ScSiNO2
_cell_length_a 4.0401
_cell_length_b 4.0401
_cell_length_c 4.2470
_cell_angle_alpha 90.00
_cell_angle_beta 90.00
_cell_angle_gamma 90.00
_symmetry_space_group_name_H-M 'P 4/m m m'
_symmetry_Int_Tables_number 123
_symmetry_space_group_name_Hall '-P 4 2'
loop_
_atom_site_label
_atom_site_fract_x
_atom_site_fract_y
_atom_site_fract_z
_atom_site_occupancy
Sc1 0.0000 0.0000 0.0000 1
Si1 0.5000 0.5000 0.5000 1
N1 0.0000 0.0000 0.5000 1
O1 0.0000 0.5000 0.0000 1
```

Energy relative to the elements, uncorrected (kJ/mol of atoms): -43
E (eV per atom): -6.447
Theoretical density (g cm⁻³): 2.85
N(E_F) (states/eV per cell): 1.79

***

4.
BeMoSe4 | PBE | optimized geometry

The structure in CIF format:
```
data_BeMoSe4
_cell_length_a 7.9586
_cell_length_b 7.9586
_cell_length_c 7.9586
_cell_angle_alpha 90.00
_cell_angle_beta 90.00
_cell_angle_gamma 90.00
_symmetry_space_group_name_H-M 'F -4 3 m'
_symmetry_Int_Tables_number 216
_symmetry_space_group_name_Hall 'F -4 2 3'
loop_
_atom_site_label
_atom_site_fract_x
_atom_site_fract_y
_atom_site_fract_z
_atom_site_occupancy
Be1 0.0000 0.0000 0.0000 1
Mo1 0.2500 0.2500 0.2500 1
Se1 0.1250 0.1250 0.6250 1
```

Energy relative to the elements, uncorrected (kJ/mol of atoms): 118
E (eV per atom): -3.527
Theoretical density (g cm⁻³): 5.54
N(E_F) (states/eV per cell): 11.05

***

5.
KMgIn2Co | PBE | optimized geometry

The structure in CIF format:
```
data_KMgIn2Co
_cell_length_a 5.0226
_cell_length_b 5.0226
_cell_length_c 5.0616
_cell_angle_alpha 90.00
_cell_angle_beta 90.00
_cell_angle_gamma 90.00
_symmetry_space_group_name_H-M 'P 4/m m m'
_symmetry_Int_Tables_number 123
_symmetry_space_group_name_Hall '-P 4 2'
loop_
_atom_site_label
_atom_site_fract_x
_atom_site_fract_y
_atom_site_fract_z
_atom_site_occupancy
K1 0.0000 0.0000 0.0000 1
Mg1 0.5000 0.5000 0.0000 1
In1 0.0000 0.5000 0.5000 1
Co1 0.5000 0.5000 0.5000 1
```

Calculated formation energy (eV/atom): -0.034
E (eV per atom): -3.089
Theoretical density (g cm⁻³): 4.58
N(E_F) (states/eV per cell): 2.23

***

6.
CdPb4 | PBE | optimized geometry

The structure in CIF format:
```
data_CdPb4
_cell_length_a 5.6674
_cell_length_b 5.6674
_cell_length_c 5.6674
_cell_angle_alpha 90.00
_cell_angle_beta 90.00
_cell_angle_gamma 90.00
_symmetry_space_group_name_H-M 'P m -3 m'
_symmetry_Int_Tables_number 221
_symmetry_space_group_name_Hall '-P 4 2 3'
loop_
_atom_site_label
_atom_site_fract_x
_atom_site_fract_y
_atom_site_fract_z
_atom_site_occupancy
Cd1 0.0000 0.0000 0.0000 1
Pb1 0.0000 0.0000 0.5000 1
Pb2 0.5000 0.5000 0.5000 1
```

Calculated formation energy (eV/atom): 0.415
ΔE to the lowest computed polymorph (meV per atom): 387.3
E (eV per atom): -2.735
Theoretical density (g cm⁻³): 8.59
N(E_F) (states/eV per cell): 2.63

***

7.
Cu2AsPbS4 | PBE | optimized geometry

The structure in CIF format:
```
data_Cu2AsPbS4
_cell_length_a 7.7340
_cell_length_b 8.0795
_cell_length_c 6.0992
_cell_angle_alpha 90.00
_cell_angle_beta 90.00
_cell_angle_gamma 90.00
_symmetry_space_group_name_H-M 'P m n 21'
_symmetry_Int_Tables_number 31
loop_
_symmetry_equiv_pos_as_xyz
'x,y,z'
'-x+1/2,-y,z+1/2'
'-x,y,z'
'x+1/2,-y,z+1/2'
loop_
_atom_site_label
_atom_site_fract_x
_atom_site_fract_y
_atom_site_fract_z
_atom_site_occupancy
Cu1 0.2461 0.1447 0.0000 1
As1 0.0000 0.7165 0.0034 1
Pb1 0.0000 0.3467 0.5089 1
S1 0.0000 0.2822 0.0765 1
S2 0.0000 0.7545 0.6335 1
S3 0.2293 0.8765 0.1220 1
```

Energy relative to the elements, uncorrected (kJ/mol of atoms): -22
E (eV per atom): -4.359
Theoretical density (g cm⁻³): 4.68
N(E_F) (states/eV per cell): 9.10

***

8.
Ho5TmPb4 | PBE | optimized geometry

The structure in CIF format:
```
data_Ho5TmPb4
_cell_length_a 17.5365
_cell_length_b 3.6347
_cell_length_c 9.7167
_cell_angle_alpha 90.00
_cell_angle_beta 92.00
_cell_angle_gamma 90.00
_symmetry_space_group_name_H-M 'C 1 2/m 1'
_symmetry_Int_Tables_number 12
loop_
_symmetry_equiv_pos_as_xyz
'x,y,z'
'-x,-y,-z'
'-x,y,-z'
'x,-y,z'
'x+1/2,y+1/2,z'
'-x+1/2,-y+1/2,-z'
'-x+1/2,y+1/2,-z'
'x+1/2,-y+1/2,z'
loop_
_atom_site_label
_atom_site_fract_x
_atom_site_fract_y
_atom_site_fract_z
_atom_site_occupancy
Ho1 0.0000 0.0000 0.0000 1
Ho2 0.1554 0.5000 0.2568 1
Ho3 0.1908 0.5000 0.8894 1
Tm1 0.0000 0.0000 0.5000 1
Pb1 0.0254 0.5000 0.7494 1
Pb2 0.1813 0.0000 0.5683 1
```

Calculated formation energy (eV/atom): -0.189
E (eV per atom): -4.408
Theoretical density (g cm⁻³): 9.78
N(E_F) (states/eV per cell): 17.81